## Ti6Al16Rh7 (meta-GGA SCAN)

Data for a PBEsol-optimized structure of Ti6Al16Rh7. Values from VASP.

Structure (Quantum ESPRESSO input):
```
&SYSTEM
  ibrav = 0, nat = 29, ntyp = 3
/
ATOMIC_SPECIES
Ti 47.87 Ti.upf
Al 26.98 Al.upf
Rh 102.91 Rh.upf
ATOMIC_POSITIONS crystal
Ti 0.179 0.179 0.821
Ti 0.179 0.821 0.179
Ti 0.179 0.821 0.821
Ti 0.821 0.179 0.179
Ti 0.821 0.179 0.821
Ti 0.821 0.821 0.179
Al 0.140 0.620 0.620
Al 0.158 0.158 0.158
Al 0.158 0.158 0.525
Al 0.158 0.525 0.158
Al 0.380 0.380 0.380
Al 0.380 0.380 0.860
Al 0.380 0.860 0.380
Al 0.475 0.842 0.842
Al 0.525 0.158 0.158
Al 0.620 0.140 0.620
Al 0.620 0.620 0.140
Al 0.620 0.620 0.620
Al 0.842 0.475 0.842
Al 0.842 0.842 0.475
Al 0.842 0.842 0.842
Al 0.860 0.380 0.380
Rh 0.000 0.000 0.500
Rh 0.000 0.500 0.000
Rh 0.000 0.500 0.500
Rh 0.500 0.000 0.000
Rh 0.500 0.000 0.500
Rh 0.500 0.500 0.000
Rh 0.500 0.500 0.500
CELL_PARAMETERS angstrom
0.000 6.002 6.002
6.002 0.000 6.002
6.002 6.002 0.000
```

DFT formation energy = -904 meV/atom
space-group type = Fm-3m (225)



## La2InRh (meta-GGA SCAN)

Data for a PBEsol-optimized structure of La2InRh. Values from VASP.

Structure (Quantum ESPRESSO input):
```
&SYSTEM
  ibrav = 0, nat = 4, ntyp = 3
/
ATOMIC_SPECIES
La 138.91 La.upf
In 114.82 In.upf
Rh 102.91 Rh.upf
ATOMIC_POSITIONS crystal
La 0.000 0.000 0.210
La 0.000 0.000 0.790
In 0.500 0.500 0.500
Rh 0.500 0.500 0.000
CELL_PARAMETERS angstrom
3.485 0.000 0.000
0.000 3.485 0.000
0.000 0.000 8.386
```

DFT formation energy = -682 meV/atom
space-group type = P4/mmm (123)



## Zr2BeSb (meta-GGA SCAN)

Data for a PBEsol-optimized structure of Zr2BeSb. Values from VASP.

Structure (Quantum ESPRESSO input):
```
&SYSTEM
  ibrav = 0, nat = 4, ntyp = 3
/
ATOMIC_SPECIES
Zr 91.22 Zr.upf
Be 9.01 Be.upf
Sb 121.76 Sb.upf
ATOMIC_POSITIONS crystal
Zr 0.000 0.000 0.000
Zr 0.500 0.312 0.312
Be 0.000 0.748 0.748
Sb 0.500 0.596 0.596
CELL_PARAMETERS angstrom
3.784 0.000 0.000
0.000 1.913 5.195
0.000 -1.913 5.195
```

space-group type = Amm2 (38)
energy relative to the lowest polymorph listed for this composition = 0.000 eV/atom



## Y3CrN (meta-GGA SCAN)

Data for a PBEsol-optimized structure of Y3CrN. Values from VASP.

Structure (Quantum ESPRESSO input):
```
&SYSTEM
  ibrav = 0, nat = 5, ntyp = 3
/
ATOMIC_SPECIES
Y 88.91 Y.upf
Cr 52.00 Cr.upf
N 14.01 N.upf
ATOMIC_POSITIONS crystal
Y 0.000 0.000 0.500
Y 0.000 0.500 0.000
Y 0.500 0.000 0.000
Cr 0.000 0.000 0.000
N 0.500 0.500 0.500
CELL_PARAMETERS angstrom
4.905 0.000 0.000
0.000 4.905 0.000
0.000 0.000 4.905
```

space-group type = Pm-3m (221)



## YCr2OsRu (meta-GGA SCAN)

Data for a PBEsol-optimized structure of YCr2OsRu. Values from VASP.

Structure (Quantum ESPRESSO input):
```
&SYSTEM
  ibrav = 0, nat = 5, ntyp = 4
/
ATOMIC_SPECIES
Y 88.91 Y.upf
Cr 52.00 Cr.upf
Os 190.23 Os.upf
Ru 101.07 Ru.upf
ATOMIC_POSITIONS crystal
Y 0.000 0.000 0.000
Cr 0.000 0.500 0.500
Cr 0.500 0.000 0.500
Os 0.500 0.500 0.000
Ru 0.000 0.000 0.500
CELL_PARAMETERS angstrom
4.410 0.000 0.000
0.000 4.410 0.000
0.000 0.000 5.063
```

DFT formation energy = 1197 meV/atom
space-group type = P4/mmm (123)



## La2MnHg (meta-GGA SCAN)

Data for a PBEsol-optimized structure of La2MnHg. Values from VASP.

Structure (Quantum ESPRESSO input):
```
&SYSTEM
  ibrav = 0, nat = 4, ntyp = 3
/
ATOMIC_SPECIES
La 138.91 La.upf
Mn 54.94 Mn.upf
Hg 200.59 Hg.upf
ATOMIC_POSITIONS crystal
La 0.000 0.000 0.000
La 0.250 0.250 0.250
Mn 0.750 0.750 0.750
Hg 0.500 0.500 0.500
CELL_PARAMETERS angstrom
0.000 3.584 3.584
3.584 0.000 3.584
3.584 3.584 0.000
```

DFT formation energy = -207 meV/atom
space-group type = F-43m (216)



These records have volume values of 432.5; 101.9; 75.2; 118.0; 98.5; 92.1 Å³ per cell, in the order they appear.
These records have VASP energy values of -16.6493; -39.0242; -26.3073; -21.0348; -33.0663; -43.3646 eV/atom, in the order they appear.